No. 1
Below is Nd6Hg2C after structural relaxation, with properties calculated at the PBE-GGA level.

energy of formation = -0.25 eV per atom
space-group type = P2_1/c (14)

Geometry as CIF:
```
data_Nd6Hg2C
_space_group_name_H-M_alt 'P 1'
_space_group_IT_number 1
_cell_length_a 7.013
_cell_length_b 7.361
_cell_length_c 10.339
_cell_angle_alpha 90.00
_cell_angle_beta 90.29
_cell_angle_gamma 90.00
loop_
_space_group_symop_operation_xyz
'x,y,z'
loop_
_atom_site_label
_atom_site_type_symbol
_atom_site_fract_x
_atom_site_fract_y
_atom_site_fract_z
Hg1 Hg 0.468 0.055 0.249
C1 C 0.500 0.500 0.000
Nd1 Nd 0.300 0.783 0.041
Nd2 Nd 0.712 0.203 0.544
Nd3 Nd 0.788 0.703 0.956
Nd4 Nd 0.907 0.981 0.260
Nd5 Nd 0.407 0.519 0.760
Hg2 Hg 0.532 0.945 0.751
Hg3 Hg 0.968 0.445 0.749
C2 C 0.000 0.000 0.500
Nd6 Nd 0.212 0.297 0.044
Nd7 Nd 0.700 0.217 0.959
Nd8 Nd 0.093 0.019 0.740
Nd9 Nd 0.200 0.283 0.459
Nd10 Nd 0.593 0.481 0.240
Nd11 Nd 0.288 0.797 0.456
Nd12 Nd 0.800 0.717 0.541
Hg4 Hg 0.032 0.555 0.251
```

=====

No. 2
Below is TaReGe2 after structural relaxation, with properties calculated at the PBE-GGA level.

energy of formation = 0.36 eV per atom
space-group type = I-42d (122)

Geometry as CIF:
```
data_TaReGe2
_space_group_name_H-M_alt 'P 1'
_space_group_IT_number 1
_cell_length_a 3.875
_cell_length_b 3.875
_cell_length_c 9.696
_cell_angle_alpha 78.47
_cell_angle_beta 78.47
_cell_angle_gamma 90.00
loop_
_space_group_symop_operation_xyz
'x,y,z'
loop_
_atom_site_label
_atom_site_type_symbol
_atom_site_fract_x
_atom_site_fract_y
_atom_site_fract_z
Re1 Re 0.000 0.000 0.000
Ge1 Ge 0.875 0.883 0.750
Ta1 Ta 0.250 0.750 0.500
Ge2 Ge 0.633 0.125 0.250
Ge3 Ge 0.117 0.625 0.250
Re2 Re 0.750 0.250 0.500
Ta2 Ta 0.500 0.500 0.000
Ge4 Ge 0.375 0.367 0.750
```

=====

No. 3
Below is Y3Ho2Tm7 after structural relaxation, with properties calculated at the PBE-GGA level.

energy of formation = 0.11 eV per atom
space-group type = Cmmm (65)

Geometry as CIF:
```
data_Y3Ho2Tm7
_space_group_name_H-M_alt 'P 1'
_space_group_IT_number 1
_cell_length_a 3.572
_cell_length_b 5.615
_cell_length_c 18.828
_cell_angle_alpha 98.58
_cell_angle_beta 90.00
_cell_angle_gamma 90.00
loop_
_space_group_symop_operation_xyz
'x,y,z'
loop_
_atom_site_label
_atom_site_type_symbol
_atom_site_fract_x
_atom_site_fract_y
_atom_site_fract_z
Tm1 Tm 0.000 0.409 0.817
Tm2 Tm 0.000 0.591 0.183
Y1 Y 0.500 0.500 0.000
Tm3 Tm 0.000 0.769 0.539
Tm4 Tm 0.000 0.231 0.461
Ho1 Ho 0.000 0.853 0.706
Y2 Y 0.500 0.315 0.630
Tm5 Tm 0.500 0.929 0.857
Tm6 Tm 0.000 0.000 0.000
Y3 Y 0.500 0.685 0.370
Ho2 Ho 0.000 0.147 0.294
Tm7 Tm 0.500 0.071 0.143
```

=====

No. 4
Below is Th2MgCo4P3 after structural relaxation, with properties calculated at the PBE-GGA level.

energy of formation = -0.82 eV per atom
space-group type = P-4m2 (115)

Geometry as CIF:
```
data_Th2MgCo4P3
_space_group_name_H-M_alt 'P 1'
_space_group_IT_number 1
_cell_length_a 3.918
_cell_length_b 3.918
_cell_length_c 9.996
_cell_angle_alpha 90.00
_cell_angle_beta 90.00
_cell_angle_gamma 90.00
loop_
_space_group_symop_operation_xyz
'x,y,z'
loop_
_atom_site_label
_atom_site_type_symbol
_atom_site_fract_x
_atom_site_fract_y
_atom_site_fract_z
Th1 Th 0.500 0.000 0.240
P1 P 0.000 0.000 0.500
P2 P 0.000 0.500 0.122
Th2 Th 0.000 0.500 0.760
P3 P 0.500 0.000 0.878
Co1 Co 0.500 0.000 0.651
Mg1 Mg 0.500 0.500 0.500
Co2 Co 0.500 0.500 0.000
Co3 Co 0.000 0.500 0.349
Co4 Co 0.000 0.000 0.000
```